Entry P
Here is a crystal of BeCd2Te relaxed with PBEsol from the Alexandria database. Energies are from SCAN.

abc: 3.6675 5.4133 5.4133
angles: 60.89 70.20 70.20
With the nearest neighbours (Å) after each atom.
Positions (direct):
Be 0.7589 0.7411 0.7411  2 Te 2.44, 2 Cd 2.63
Te 0.4459 0.5541 0.5541  2 Be 2.44
Cd 0.0393 0.9607 0.9607  2 Be 2.63
Cd 0.2559 0.2441 0.2441  4 Cd 3.05-3.31, 4 Te 3.19-3.23, 4 Be 3.30

Output
- symmetry = Imm2 (44)

---

Entry Q
Here is a crystal of BeCd2Te relaxed with PBEsol from the Alexandria database. Energies are from SCAN.

abc: 3.3250 3.3250 8.3495
angles: 90.00 90.00 111.38
With the nearest neighbours (Å) after each atom.
Positions (direct):
Be 0.5000 0.5000 0.2543  2 Te 2.42, 2 Cd 2.59
Te 0.0000 0.0000 0.4385  2 Be 2.42
Cd 0.0000 0.0000 0.0404  2 Be 2.59
Cd 0.5000 0.5000 0.7667  2 Cd 2.96

Output
- symmetry = Cmm2 (35)

---

Stability, lowest: entry P

---

Entry P
Here is a crystal of BeAlHg relaxed with PBEsol from the Alexandria database. Energies are from SCAN.

abc: 4.2245 4.2245 4.2245
angles: 60.00 60.00 60.00
With the nearest neighbours (Å) after each atom.
Positions (direct):
Be 0.0000 0.0000 0.0000  4 Al 2.59
Hg 0.5000 0.5000 0.5000  4 Al 2.59
Al 0.7500 0.7500 0.7500  4 Be 2.59, 4 Hg 2.59

Output
- symmetry = F-43m (216)

---

Entry Q
Here is a crystal of BeAlHg relaxed with PBEsol from the Alexandria database. Energies are from SCAN.

abc: 2.8755 2.8755 6.0678
angles: 103.71 103.71 90.00
With the nearest neighbours (Å) after each atom.
Positions (direct):
Be 0.6578 0.6578 0.3156  4 Al 2.54, 4 Hg 2.74
Hg 0.3182 0.3182 0.6363  4 Be 2.74, 4 Hg 2.88
Al 0.0240 0.0240 0.0480  4 Be 2.54

Output
- symmetry = I4mm (107)

---

Stability, lowest: entry P

---

Entry P
Here is a crystal of TaMoW2 relaxed with PBEsol from the Alexandria database. Energies are from SCAN.

abc: 3.1698 3.1698 6.3568
angles: 90.00 90.00 90.00
With the nearest neighbours (Å) after each atom.
Positions (direct):
Mo 0.0000 0.0000 0.4957  4 W 2.73, 4 Ta 2.76
W 0.0000 0.0000 0.0048  4 W 2.73, 4 Ta 2.77
W 0.5000 0.5000 0.2510  4 Mo 2.73, 4 W 2.73
Ta 0.5000 0.5000 0.7485  4 Mo 2.76, 4 W 2.77

Output
- symmetry = P4mm (99)

---

Entry Q
Here is a crystal of TaMoW2 relaxed with PBEsol from the Alexandria database. Energies are from SCAN.

abc: 3.1723 4.4900 5.2595
angles: 115.27 107.55 90.00
With the nearest neighbours (Å) after each atom.
Positions (direct):
Mo 0.5026 0.5026 0.0052  6 W 2.72-2.75, 2 Ta 2.76
W 0.9970 0.9970 0.9940  2 W 2.73, 4 Mo 2.75, 2 Ta 2.78
W 0.2494 0.7494 0.4988  2 Mo 2.72, 2 W 2.73, 4 Ta 2.75
Ta 0.7510 0.2510 0.5021  6 W 2.75-2.78, 2 Mo 2.76

Output
- symmetry = Imm2 (44)

---

Stability, lowest: entry Q

---

Entry P
Here is a crystal of CdPb2 relaxed with PBEsol from the Alexandria database. Energies are from SCAN.

abc: 5.7474 6.0613 6.0613
angles: 77.01 61.70 61.70
With the nearest neighbours (Å) after each atom.
Positions (direct):
Cd 0.2500 0.0000 0.0000  2 Cd 2.87, 8 Pb 3.19
Cd 0.7500 0.0000 0.0000  2 Cd 2.87, 8 Pb 3.19
Pb 0.8447 0.5000 0.8106  4 Cd 3.19, 3 Pb 3.32-3.51
Pb 0.1553 0.5000 0.1894  4 Cd 3.19, 3 Pb 3.32-3.51
Pb 0.3447 0.8106 0.5000  4 Cd 3.19, 3 Pb 3.32-3.51
Pb 0.6553 0.1894 0.5000  4 Cd 3.19, 3 Pb 3.32-3.51

Output
- symmetry = I4/mcm (140)

---

Entry Q
Here is a crystal of CdPb2 relaxed with PBEsol from the Alexandria database. Energies are from SCAN.

abc: 3.4931 3.4931 13.9925
angles: 97.17 97.17 90.00
With the nearest neighbours (Å) after each atom.
Positions (direct):
Cd 0.2500 0.7500 0.5000  8 Pb 3.18, 4 Cd 3.49
Cd 0.0000 0.0000 0.0000  8 Pb 3.18, 4 Cd 3.49
Pb 0.8227 0.3227 0.6455  4 Cd 3.18, 6 Pb 3.37-3.49
Pb 0.4273 0.4273 0.8545  4 Cd 3.18, 6 Pb 3.37-3.49
Pb 0.6773 0.1773 0.3545  4 Cd 3.18, 6 Pb 3.37-3.49
Pb 0.5727 0.5727 0.1455  4 Cd 3.18, 6 Pb 3.37-3.49

Output
- symmetry = I4_1/amd (141)

---

Stability, lowest: entry Q

---

Entry P
Here is a crystal of Be2HgPb relaxed with PBEsol from the Alexandria database. Energies are from SCAN.

abc: 3.8587 3.9325 4.8994
angles: 90.00 113.19 90.00
With the nearest neighbours (Å) after each atom.
Positions (direct):
Pb 0.3981 0.5000 0.7963  7 Be 2.62-2.86
Be 0.8113 0.0000 0.6226  2 Be 2.26
Be 0.6885 0.5000 0.3769  2 Be 2.26
Hg 0.1069 0.0000 0.2138  7 Be 2.66-2.85

Output
- symmetry = Amm2 (38)

---

Entry Q
Here is a crystal of Be2HgPb relaxed with PBEsol from the Alexandria database. Energies are from SCAN.

abc: 4.1198 4.1157 5.3196
angles: 91.96 90.00 120.03
With the nearest neighbours (Å) after each atom.
Positions (direct):
Pb 0.8778 0.7556 0.2469  2 Be 2.66
Be 0.8739 0.7479 0.7461  3 Hg 2.38, 3 Be 2.38, 1 Pb 2.66
Be 0.2075 0.4150 0.7570  3 Be 2.38, 3 Hg 2.38
Hg 0.5408 0.0815 0.7500  6 Be 2.38

Output
- symmetry = Cm (8)

---

Stability, lowest: entry P

---

Entry P
Here is a crystal of TlInPb relaxed with PBEsol from the Alexandria database. Energies are from SCAN.

abc: 3.4741 3.4741 7.3265
angles: 103.71 103.71 90.00
With the nearest neighbours (Å) after each atom.
Positions (direct):
Pb 0.6626 0.6626 0.3251  4 In 3.33, 4 Tl 3.45, 4 Pb 3.47
Tl 0.3376 0.3376 0.6752  4 In 3.32, 4 Pb 3.45, 4 Tl 3.47
In 0.9998 0.9998 0.9997  4 Tl 3.32, 4 Pb 3.33, 4 In 3.47

Output
- symmetry = I4mm (107)

---

Entry Q
Here is a crystal of TlInPb relaxed with PBEsol from the Alexandria database. Energies are from SCAN.

abc: 5.1063 5.1063 5.1063
angles: 60.00 60.00 60.00
With the nearest neighbours (Å) after each atom.
Positions (direct):
In 0.0000 0.0000 0.0000  4 Tl 3.13
Pb 0.5000 0.5000 0.5000  4 Tl 3.13
Tl 0.7500 0.7500 0.7500  4 Pb 3.13, 4 In 3.13

Output
- symmetry = F-43m (216)

---

Stability, lowest: entry Q

---

Entry P
Here is a crystal of MoIr2Rh relaxed with PBEsol from the Alexandria database. Energies are from SCAN.

abc: 2.7099 2.7099 9.0470
angles: 81.39 81.39 60.00
With the nearest neighbours (Å) after each atom.
Positions (direct):
Ir 0.9996 0.9996 0.0011  9 Ir 2.71-2.75, 3 Rh 2.73
Ir 0.7508 0.7508 0.7477  9 Ir 2.71-2.75, 3 Mo 2.71
Mo 0.5002 0.5002 0.4993  3 Rh 2.70, 6 Mo 2.71, 3 Ir 2.71
Rh 0.2494 0.2494 0.2519  3 Mo 2.70, 6 Rh 2.71, 3 Ir 2.73

Output
- symmetry = R3m (160)

---

Entry Q
Here is a crystal of MoIr2Rh relaxed with PBEsol from the Alexandria database. Energies are from SCAN.

abc: 3.8131 3.8428 3.8428
angles: 90.00 90.00 90.00
With the nearest neighbours (Å) after each atom.
Positions (direct):
Mo 0.5000 0.5000 0.5000  8 Ir 2.71, 4 Rh 2.72
Ir 0.0000 0.0000 0.5000  4 Mo 2.71, 4 Rh 2.71, 4 Ir 2.72
Ir 0.0000 0.5000 0.0000  4 Mo 2.71, 4 Rh 2.71, 4 Ir 2.72
Rh 0.5000 0.0000 0.0000  8 Ir 2.71, 4 Mo 2.72

Output
- symmetry = P4/mmm (123)

---

Stability, lowest: entry P

---

Entry P
Here is a crystal of Ca2TaW relaxed with PBEsol from the Alexandria database. Energies are from SCAN.

abc: 2.8225 2.8225 10.6613
angles: 90.00 90.00 101.38
With the nearest neighbours (Å) after each atom.
Positions (direct):
Ca 0.0000 0.0000 0.2398  4 Ca 2.82, 2 W 3.12
Ca 0.0000 0.0000 0.7602  4 Ca 2.82, 2 W 3.12
W 0.5000 0.5000 0.0000  4 W 2.82, 4 Ca 3.12
Ta 0.5000 0.5000 0.5000  4 Ta 2.82

Output
- symmetry = Cmmm (65)

---

Entry Q
Here is a crystal of Ca2TaW relaxed with PBEsol from the Alexandria database. Energies are from SCAN.

abc: 3.0967 3.0967 10.4383
angles: 90.00 90.00 111.91
With the nearest neighbours (Å) after each atom.
Positions (direct):
Ca 0.0000 0.0000 0.0413  2 W 3.04, 4 Ca 3.10
Ca 0.5000 0.5000 0.7180  6 Ca 3.10-3.47, 2 Ta 3.20
W 0.5000 0.5000 0.2802  2 Ta 2.56
Ta 0.0000 0.0000 0.4605  2 W 2.56

Output
- symmetry = Cmm2 (35)

---

Stability, lowest: entry P